SmSn4: relaxed, GGA-PBE.

```
SmSn4
1.0
4.4906 0.0000 0.0000
0.0000 6.3675 -0.3849
0.0000 -2.1511 10.9138
Sm Sn
2 8
direct
0.0000 0.0000 0.0000
0.5000 0.0000 0.5000
0.4808 0.1308 0.2169
0.9808 0.8692 0.2831
0.5192 0.8692 0.7831
0.0192 0.1308 0.7169
0.7449 0.5008 0.5869
0.2449 0.4992 0.9131
0.2551 0.4992 0.4131
0.7551 0.5008 0.0869
```

Properties
Formation energy from the elements (eV/f.u.): -1.0
Total DFT energy (no corrections) (eV per atom): -4.339
Crystal system: monoclinic



Pm3Zn7Au2: relaxed, GGA-PBE.

```
Pm3Zn7Au2
1.0
4.1882 0.0000 0.0000
0.0000 4.1882 0.0000
-2.0941 -2.0941 14.7022
Pm Zn Au
3 7 2
direct
0.3309 0.3309 0.6617
0.6691 0.6691 0.3383
0.5000 0.5000 0.0000
0.0000 0.0000 0.0000
0.9221 0.4221 0.8441
0.4221 0.9221 0.8441
0.0779 0.5779 0.1559
0.5779 0.0779 0.1559
0.2276 0.2276 0.4551
0.7724 0.7724 0.5449
0.1385 0.1385 0.2769
0.8615 0.8615 0.7231
```

Properties
Formation energy from the elements (eV/f.u.): -3.5
Total DFT energy (no corrections) (eV per atom): -2.771
Crystal system: tetragonal



RbScNO2: relaxed, GGA-PBE.

```
RbScNO2
1.0
4.2090 0.0000 0.0000
0.0000 4.2090 0.0000
0.0000 0.0000 4.5775
Sc O Rb N
1 2 1 1
direct
0.0000 0.0000 0.0000
0.0000 0.5000 0.0000
0.5000 0.0000 0.0000
0.5000 0.5000 0.5000
0.0000 0.0000 0.5000
```

Properties
Formation energy without anion corrections (eV/f.u.): -5.38
Total DFT energy (no corrections) (eV per atom): -6.185
Crystal system: tetragonal



ScP2Br: relaxed, GGA-PBE.

```
ScP2Br
1.0
8.3602 -0.0369 -0.0219
7.6910 3.2775 -0.0219
7.6910 1.5528 2.8864
Br P Sc
1 2 1
direct
0.7500 0.7500 0.7500
0.9918 0.9918 0.9918
0.5082 0.5082 0.5082
0.2500 0.2500 0.2500
```

Properties
Formation energy without anion corrections (eV/f.u.): 0.60
Total DFT energy (no corrections) (eV per atom): -4.557
Crystal system: trigonal



LaHoIn2Te4: relaxed, GGA-PBE.

```
LaHoIn2Te4
1.0
4.5078 0.0000 0.0000
0.0000 8.4972 -0.4163
0.0000 2.7445 7.3271
La Ho In Te
1 1 2 4
direct
0.5000 0.5000 0.0000
0.0000 0.5000 0.5000
0.0000 0.0000 0.0000
0.5000 0.0000 0.5000
0.0000 0.7254 0.7464
0.0000 0.2747 0.2536
0.5000 0.7195 0.2716
0.5000 0.2805 0.7284
```

Properties
Formation energy without anion corrections (eV/f.u.): -8.07
Total DFT energy (no corrections) (eV per atom): -4.453
Crystal system: monoclinic



Ac2Al4CdAu3: relaxed, GGA-PBE.

```
Ac2Al4CdAu3
1.0
-3.6084 -0.1081 -2.7835
-2.6643 -1.1955 3.5003
-1.9362 10.4738 2.1034
Ac Al Cd Au
2 4 1 3
direct
0.5000 0.0000 0.2477
0.0000 0.5000 0.7523
0.5000 0.5000 0.0000
0.0000 0.0000 0.0000
0.5000 0.0000 0.6388
0.0000 0.5000 0.3612
0.5000 0.5000 0.5000
0.0000 0.0000 0.5000
0.5000 0.0000 0.8771
0.0000 0.5000 0.1229
```

Properties
Formation energy from the elements (eV/f.u.): -6.4
Total DFT energy (no corrections) (eV per atom): -4.032
Crystal system: tetragonal



AcLaTbGa: relaxed, GGA-PBE.

```
AcLaTbGa
1.0
-4.6628 3.0502 0.5035
-2.3824 0.6603 5.0186
0.1753 4.9783 2.5465
Ac Tb Ga La
1 1 1 1
direct
0.7500 0.7500 0.7500
0.5000 0.5000 0.5000
0.2500 0.2500 0.2500
0.0000 0.0000 0.0000
```

Properties
Formation energy from the elements (eV/f.u.): 0.0
Total DFT energy (no corrections) (eV per atom): -4.172
Crystal system: cubic



Mg2InCl: relaxed, GGA-PBE.

```
Mg2InCl
1.0
-1.6212 -2.0354 2.2421
3.3470 0.7178 0.2835
-2.0788 7.5719 5.3707
Cl In Mg
1 1 2
direct
0.5000 0.5000 0.2500
0.5000 0.5000 0.7500
0.0000 0.0000 0.0247
0.0000 0.0000 0.4753
```

Properties
Formation energy without anion corrections (eV/f.u.): -1.73
Total DFT energy (no corrections) (eV per atom): -2.376
Crystal system: orthorhombic



MnPCl: relaxed, GGA-PBE.

```
MnPCl
1.0
-2.5465 -0.0188 -2.1338
2.8327 -1.5507 -0.7804
-2.3426 -5.7115 2.8460
Cl Mn P
1 1 1
direct
0.0000 0.0000 0.1152
0.6667 0.3333 0.3446
0.3333 0.6667 0.5403
```

Properties
Formation energy without anion corrections (eV/f.u.): -1.21
Total DFT energy (no corrections) (eV per atom): -5.878
Crystal system: trigonal



Ti3Mn2S8: relaxed, GGA-PBE.

```
Ti3Mn2S8
1.0
-0.5779 2.4054 5.4488
-1.5531 -6.2488 2.5939
6.2358 2.1522 -0.3705
Ti Mn S
3 2 8
direct
0.5000 0.0000 0.0000
0.0000 0.2535 0.0000
0.0000 0.7465 0.0000
0.5170 0.7388 0.4777
0.4830 0.2612 0.5223
0.1629 0.3839 0.7678
0.8371 0.6161 0.2322
0.1646 0.8739 0.7478
0.8354 0.1261 0.2522
0.3363 0.8869 0.2595
0.3363 0.3726 0.2595
0.6637 0.6274 0.7405
0.6637 0.1131 0.7405
```

Properties
Formation energy without anion corrections (eV/f.u.): -13.50
Total DFT energy (no corrections) (eV per atom): -6.811
Crystal system: monoclinic



Cs2ReRu2: relaxed, GGA-PBE.

```
Cs2ReRu2
1.0
-2.2828 5.5697 2.2467
-5.9505 -1.7723 -1.6524
-0.7985 -2.6210 5.6865
Cs Re Ru
4 2 4
direct
0.1862 0.6862 0.5000
0.6862 0.8138 0.5000
0.8138 0.3138 0.5000
0.3138 0.1862 0.5000
0.0000 0.0000 0.0000
0.5000 0.5000 0.0000
0.3630 0.8630 0.0000
0.8630 0.6370 0.0000
0.6370 0.1370 0.0000
0.1370 0.3630 0.0000
```

Properties
Formation energy from the elements (eV/f.u.): 5.7
Total DFT energy (no corrections) (eV per atom): -5.405
Crystal system: tetragonal



GdInBi: relaxed, GGA-PBE.

```
GdInBi
1.0
3.4448 0.0000 0.0000
0.0000 5.4308 0.0000
0.0000 -2.7154 4.7032
Gd Bi In
1 1 1
direct
0.6669 0.6667 0.3333
0.1650 0.0000 0.0000
0.1681 0.3333 0.6667
```

Properties
Formation energy from the elements (eV/f.u.): -1.0
Total DFT energy (no corrections) (eV per atom): -7.228
Crystal system: trigonal